MgRe2Tc | meta-GGA SCAN | single point on PBEsol structure

Cell: 2.975 4.463 9.096 Å, 90.00 90.00 90.00°
Space group Cmm2 (No. 35)
Asymmetric unit:
Mg: 0.000 0.000 0.000 (multiplicity 2)
Re: 0.000 0.000 0.496 (multiplicity 2)
Re: 0.000 0.500 0.739 (multiplicity 2)
Tc: 0.000 0.500 0.257 (multiplicity 2)

The value obtained for the formation energy from the elements is 0.212 eV per atom.

MgReTc | meta-GGA SCAN | single point on PBEsol structure

Cell: 3.032 3.032 9.948 Å, 90.00 90.00 90.00°
Space group I4mm (No. 107)
Asymmetric unit:
Mg: 0.000 0.000 0.000 (multiplicity 2)
Re: 0.000 0.000 0.683 (multiplicity 2)
Tc: 0.000 0.000 0.320 (multiplicity 2)

The value obtained for the formation energy from the elements is -0.023 eV per atom.

Mg4ReTe | meta-GGA SCAN | single point on PBEsol structure

Cell: 7.692 7.692 7.692 Å, 90.00 90.00 90.00°
Space group F-43m (No. 216)
Asymmetric unit:
Mg: 0.123 0.123 0.377 (multiplicity 16)
Re: 0.250 0.250 0.750 (multiplicity 4)
Te: 0.000 0.000 0.000 (multiplicity 4)

Its raw formation energy is 0.55 eV/atom.

Mg2TlRe | meta-GGA SCAN | single point on PBEsol structure

Cell: 3.326 4.585 9.590 Å, 90.00 90.00 90.00°
Space group Immm (No. 71)
Asymmetric unit:
Mg: 0.000 0.000 0.234 (multiplicity 4)
Tl: 0.000 0.500 0.000 (multiplicity 2)
Re: 0.000 0.500 0.500 (multiplicity 2)

The value obtained for the formation energy from the elements is 0.459 eV per atom.

Mg2TlRe | meta-GGA SCAN | single point on PBEsol structure

Cell: 2.825 4.905 5.277 Å, 90.00 90.00 90.00°
Space group Pmm2 (No. 25)
Asymmetric unit:
Mg: 0.000 0.000 0.000 (multiplicity 1)
Mg: 0.000 0.500 0.323 (multiplicity 1)
Tl: 0.500 0.500 0.802 (multiplicity 1)
Re: 0.500 0.000 0.489 (multiplicity 1)

The value obtained for the formation energy from the elements is 0.331 eV per atom.

Mg2TlRe | meta-GGA SCAN | single point on PBEsol structure

Cell: 2.887 4.302 5.892 Å, 90.00 90.00 90.00°
Space group Pmmm (No. 47)
Asymmetric unit:
Mg: 0.000 0.000 0.224 (multiplicity 2)
Tl: 0.500 0.500 0.500 (multiplicity 1)
Re: 0.500 0.500 0.000 (multiplicity 1)

The value obtained for the formation energy from the elements is 0.363 eV per atom.

MgRe2W2 | meta-GGA SCAN | single point on PBEsol structure

Cell: 4.195 4.195 10.898 Å, 90.00 90.00 90.00°
Space group I4/mmm (No. 139)
Asymmetric unit:
Mg: 0.000 0.000 0.000 (multiplicity 2)
Re: 0.000 0.500 0.250 (multiplicity 4)
W: 0.000 0.000 0.377 (multiplicity 4)

The value obtained for the formation energy from the elements is 0.570 eV per atom.

MgReW2 | meta-GGA SCAN | single point on PBEsol structure

Cell: 3.237 4.356 4.389 Å, 90.00 90.00 90.00°
Space group Pmmm (No. 47)
Asymmetric unit:
Mg: 0.000 0.000 0.000 (multiplicity 1)
Re: 0.500 0.500 0.000 (multiplicity 1)
W: 0.000 0.500 0.500 (multiplicity 1)
W: 0.500 0.000 0.500 (multiplicity 1)

The value obtained for the formation energy from the elements is 0.430 eV per atom.

Respective E values: -362.76 -222.40 -499.89 -303.13 -152.08 -151.95 -567.39 -213.73 eV per cell.
Respective volume values: 120.79 91.43 455.09 146.26 73.12 73.19 191.80 61.88 Å³/cell.
Respective spin magnetization values: 0.00 0.00 0.00 0.85 0.00 0.00 0.00 0.00 μB/cell.